1.
This record from Alexandria describes a relaxed Be3IrW crystal. The functional is PBE-GGA.

```
data_Be3IrW
_chemical_formula_sum 'Be3 Ir1 W1'
_cell_length_a 4.062
_cell_length_b 4.062
_cell_length_c 4.062
_cell_angle_alpha 90.00
_cell_angle_beta 90.00
_cell_angle_gamma 90.00
_symmetry_space_group_name_H-M 'P 1'
_symmetry_Int_Tables_number 1
loop_
_symmetry_equiv_pos_as_xyz
'x,y,z'
loop_
_atom_site_label
_atom_site_type_symbol
_atom_site_fract_x
_atom_site_fract_y
_atom_site_fract_z
Ir1 Ir 0.000 0.000 0.000
Be1 Be 0.000 0.500 0.000
Be2 Be 0.500 0.000 0.000
W1 W 0.500 0.500 0.500
Be3 Be 0.000 0.000 0.500
```

Summary:
* SG: No. 221
* energy relative to the lowest polymorph listed for this composition: 0 meV/atom
* N(E_F): 3.3 states/eV per cell
* total magnetic moment: 1.2 μB/f.u.


2.
This record from Alexandria describes a relaxed La5Pm2Dy crystal. The functional is PBE-GGA.

```
data_La5Pm2Dy
_chemical_formula_sum 'La10 Pm4 Dy2'
_cell_length_a 5.845
_cell_length_b 9.037
_cell_length_c 11.694
_cell_angle_alpha 90.00
_cell_angle_beta 90.00
_cell_angle_gamma 108.87
_symmetry_space_group_name_H-M 'P 1'
_symmetry_Int_Tables_number 1
loop_
_symmetry_equiv_pos_as_xyz
'x,y,z'
loop_
_atom_site_label
_atom_site_type_symbol
_atom_site_fract_x
_atom_site_fract_y
_atom_site_fract_z
La1 La 0.412 0.825 0.413
La2 La 0.953 0.907 0.885
La3 La 0.390 0.780 0.750
La4 La 0.588 0.175 0.913
Dy1 Dy 0.771 0.542 0.750
La5 La 0.953 0.907 0.615
Dy2 Dy 0.229 0.458 0.250
Pm1 Pm 0.215 0.429 0.584
La6 La 0.412 0.825 0.087
Pm2 Pm 0.785 0.571 0.084
Pm3 Pm 0.215 0.429 0.916
Pm4 Pm 0.785 0.571 0.416
La7 La 0.610 0.220 0.250
La8 La 0.588 0.175 0.587
La9 La 0.047 0.093 0.385
La10 La 0.047 0.093 0.115
```

Summary:
* SG: No. 63
* N(E_F): 25.3 states/eV per cell
* E_tot: -4.725 eV/atom
* total magnetic moment: 0.0 μB/f.u.


3.
This record from Alexandria describes a relaxed La3TbPm6Dy2 crystal. The functional is PBE-GGA.

```
data_La3TbPm6Dy2
_chemical_formula_sum 'La3 Tb1 Pm6 Dy2'
_cell_length_a 6.328
_cell_length_b 6.328
_cell_length_c 12.108
_cell_angle_alpha 95.02
_cell_angle_beta 95.02
_cell_angle_gamma 120.04
_symmetry_space_group_name_H-M 'P 1'
_symmetry_Int_Tables_number 1
loop_
_symmetry_equiv_pos_as_xyz
'x,y,z'
loop_
_atom_site_label
_atom_site_type_symbol
_atom_site_fract_x
_atom_site_fract_y
_atom_site_fract_z
Dy1 Dy 0.667 0.333 0.000
La1 La 0.167 0.833 0.500
Pm1 Pm 0.585 0.919 0.756
Tb1 Tb 0.000 0.000 0.000
Dy2 Dy 0.333 0.667 0.000
La2 La 0.500 0.500 0.500
La3 La 0.833 0.167 0.500
Pm2 Pm 0.415 0.081 0.244
Pm3 Pm 0.748 0.748 0.244
Pm4 Pm 0.081 0.415 0.244
Pm5 Pm 0.919 0.585 0.756
Pm6 Pm 0.252 0.252 0.756
```

Summary:
* SG: No. 12
* N(E_F): 19.9 states/eV per cell
* E_tot: -4.740 eV/atom
* total magnetic moment: 0.0 μB/f.u.


4.
This record from Alexandria describes a relaxed ScCoAu2Br crystal. The functional is PBE-GGA.

```
data_ScCoAu2Br
_chemical_formula_sum 'Sc1 Co1 Au2 Br1'
_cell_length_a 5.124
_cell_length_b 5.124
_cell_length_c 4.250
_cell_angle_alpha 90.00
_cell_angle_beta 90.00
_cell_angle_gamma 90.00
_symmetry_space_group_name_H-M 'P 1'
_symmetry_Int_Tables_number 1
loop_
_symmetry_equiv_pos_as_xyz
'x,y,z'
loop_
_atom_site_label
_atom_site_type_symbol
_atom_site_fract_x
_atom_site_fract_y
_atom_site_fract_z
Au1 Au 0.000 0.500 0.000
Sc1 Sc 0.500 0.500 0.500
Br1 Br 0.000 0.000 0.000
Co1 Co 0.000 0.000 0.500
Au2 Au 0.500 0.000 0.000
```

Summary:
* SG: No. 123
* N(E_F): 6.8 states/eV per cell
* total magnetic moment: 0.0 μB/f.u.
* uncorrected formation energy: 77.3 kJ/mol of atoms